Density functional theory data (PBE) for a relaxed Cs2NaIn2Se4 crystal.

Values from the calculation:
SG: C2/m
Final energy (eV/atom): -3.367

abc: 8.714 8.714 8.288
angles: 107.10 107.10 31.88
Fractional coordinates of all 9 atoms:
Cs  0.123  0.123  0.039
Cs  0.877  0.877  0.961
Na  0.000  0.000  0.500
In  0.336  0.336  0.503
In  0.664  0.664  0.497
Se  0.208  0.208  0.664
Se  0.479  0.479  0.733
Se  0.521  0.521  0.267
Se  0.792  0.792  0.336

Density functional theory data (PBE) for a relaxed Pm7Hg2Ir crystal.

Values from the calculation:
SG: Fm-3m
ΔH_f (0 K) (eV/f.u.): 1.6

abc: 7.883 7.883 7.883
angles: 60.00 60.00 60.00
Fractional coordinates of all 10 atoms:
Pm  0.000  0.000  0.000
Pm  0.256  0.256  0.744
Pm  0.256  0.744  0.256
Pm  0.256  0.744  0.744
Pm  0.744  0.256  0.256
Pm  0.744  0.256  0.744
Pm  0.744  0.744  0.256
Hg  0.250  0.250  0.250
Hg  0.750  0.750  0.750
Ir  0.500  0.500  0.500